[1]
Material: BaCaBi2Au4
Method: DFT, GGA-PBE
State: optimized geometry

Calculated values
D(E_F)   3.13 states/eV per cell
Final energy   -28.9 eV/cell
Formation energy from the elements   -11.760 kcal/mol of atoms
Space-group type   R-3m

a b c (Å): 9.7982 9.7982 9.7982
angles (deg): 30.17 30.17 30.17
Closest atoms and distances in Å follow each position.
Sites, in units of the cell vectors:
Ba 0.0000 0.0000 0.0000  8 Au 3.40-3.70
Ca 0.5000 0.5000 0.5000  8 Au 2.98-3.10
Bi 0.2438 0.2438 0.2438  7 Au 3.06-3.18
Bi 0.7562 0.7562 0.7562  7 Au 3.06-3.18
Au 0.1320 0.1320 0.1320  3 Ca 3.10, 4 Bi 3.13-3.18
Au 0.3937 0.3937 0.3937  1 Ca 2.98, 3 Bi 3.06
Au 0.6063 0.6063 0.6063  1 Ca 2.98, 3 Bi 3.06
Au 0.8680 0.8680 0.8680  3 Ca 3.10, 4 Bi 3.13-3.18

=====

[2]
Material: Ho5Tm3Sc3
Method: DFT, GGA-PBE
State: optimized geometry

Calculated values
D(E_F)   19.43 states/eV per cell
Final energy   -46.5 eV/cell
Formation energy from the elements   18.388 kcal/mol of atoms
Space-group type   P-62m

a b c (Å): 9.2685 9.2685 5.4193
angles (deg): 90.00 90.00 120.00
Closest atoms and distances in Å follow each position.
Sites, in units of the cell vectors:
Ho 0.0000 0.7464 0.0000  3 Sc 3.09-3.41, 2 Tm 3.34
Ho 0.2536 0.2536 0.0000  3 Sc 3.09-3.41, 2 Tm 3.34
Ho 0.3333 0.6667 0.0000  3 Sc 2.90
Ho 0.6667 0.3333 0.0000  3 Sc 2.90
Ho 0.7464 0.0000 0.0000  3 Sc 3.09-3.41, 2 Tm 3.34
Tm 0.0000 0.5358 0.5000  2 Sc 3.08, 2 Ho 3.34
Tm 0.4642 0.4642 0.5000  2 Sc 3.08, 2 Ho 3.34
Tm 0.5358 0.0000 0.5000  2 Sc 3.08, 2 Ho 3.34
Sc 0.0000 0.3779 0.0000  4 Ho 2.90-3.09, 2 Tm 3.08
Sc 0.3779 0.0000 0.0000  4 Ho 2.90-3.09, 2 Tm 3.08
Sc 0.6221 0.6221 0.0000  4 Ho 2.90-3.09, 2 Tm 3.08